1.
Cs3U3TcS8: optimized geometry, GGA-PBE.

Cell: 7.6685 7.6685 25.1948 Å, 90.00 90.00 120.00°
Space group R-3m (No. 166, hexagonal axes)
Symmetry-distinct sites (fractional):
Cs  0.0000  0.5000  0.0000 x9
U  0.0000  0.5000  0.5000 x9
Tc  0.0000  0.0000  0.5000 x3
S  0.0000  0.0000  0.2298 x6
S  0.0197  0.5098  0.2249 x18

Values from the calculation:
- mass density (g cm⁻³) = 5.70
- magnetic moment (μB per atom) = 0.4002
- raw total energy (eV per formula unit) = -97.71
- formation energy (no corrections) (meV per atom) = -1193

2.
Cs2TeS2: optimized geometry, GGA-PBE.

Cell: 7.705 7.705 5.545 Å, 90.00 90.00 90.00°
Space group P4/mbm (No. 127)
Symmetry-distinct sites (fractional):
Cs  0.162  0.338  0.000 x4
Te  0.000  0.000  0.500 x2
S  0.171  0.671  0.500 x4

Values from the calculation:
- mass density (g cm⁻³) = 4.62
- energy above the most stable polymorph in this dataset (meV per atom) = 218
- magnetic moment (μB per atom) = 0.0000
- raw total energy (eV per formula unit) = -16.09
- formation energy (no corrections) (meV per atom) = -598

3.
CsTeS3: optimized geometry, GGA-PBE.

Cell: 6.786 8.215 14.186 Å, 90.00 90.02 90.00°
Space group P2_1/c (No. 14)
Symmetry-distinct sites (fractional):
Cs  0.218  0.188  0.207 x4
Te  0.298  0.708  0.070 x4
S  0.042  0.212  0.967 x4
S  0.227  0.091  0.456 x4
S  0.282  0.616  0.224 x4

Values from the calculation:
- mass density (g cm⁻³) = 3.00
- energy above the most stable polymorph in this dataset (meV per atom) = 0
- magnetic moment (μB per atom) = 0.0000
- raw total energy (eV per formula unit) = -18.25
- formation energy (no corrections) (meV per atom) = -374

4.
Cs2TeS4: optimized geometry, GGA-PBE.

Cell: 5.256 5.256 17.356 Å, 90.00 90.00 90.00°
Space group I4/mmm (No. 139)
Symmetry-distinct sites (fractional):
Cs  0.000  0.000  0.145 x4
Te  0.000  0.000  0.500 x2
S  0.000  0.000  0.357 x4
S  0.000  0.500  0.000 x4

Values from the calculation:
- mass density (g cm⁻³) = 3.61
- energy above the most stable polymorph in this dataset (meV per atom) = 235
- magnetic moment (μB per atom) = 0.1910
- raw total energy (eV per formula unit) = -23.58
- formation energy (no corrections) (meV per atom) = -317

5.
Cs5Te2S5: optimized geometry, GGA-PBE.

Cell: 11.725 5.237 14.378 Å, 90.00 104.60 90.00°
Space group C2/m (No. 12)
Symmetry-distinct sites (fractional):
Cs  0.000  0.000  0.000 x2
Cs  0.179  0.000  0.564 x4
Cs  0.225  0.500  0.156 x4
Te  0.028  0.500  0.708 x4
S  0.000  0.500  0.500 x2
S  0.044  0.000  0.297 x4
S  0.107  0.500  0.890 x4

Values from the calculation:
- mass density (g cm⁻³) = 4.20
- magnetic moment (μB per atom) = 0.0000
- raw total energy (eV per formula unit) = -39.80
- formation energy (no corrections) (meV per atom) = -718

6.
CsTeS3: optimized geometry, GGA-PBE.

Cell: 5.493 5.493 5.493 Å, 90.00 90.00 90.00°
Space group Pm-3m (No. 221)
Symmetry-distinct sites (fractional):
Cs  0.000  0.000  0.000 x1
Te  0.500  0.500  0.500 x1
S  0.000  0.000  0.500 x3

Values from the calculation:
- mass density (g cm⁻³) = 3.57
- energy above the most stable polymorph in this dataset (meV per atom) = 1797
- magnetic moment (μB per atom) = 0.0000
- raw total energy (eV per formula unit) = -9.26
- formation energy (no corrections) (meV per atom) = 1424